Material: CdCo4Cu3O12
Method: DFT, PBE with a Hubbard U
State: relaxed

Its total energy is -214.60 eV per cell. The crystal system is cubic. As for the density of states at the Fermi level: 21.131 states/eV per cell. For the density, the calculation gives 6.36 Mg/m³.

It has space group Im-3 (No. 204), with a = 7.255 Å, b = 7.255 Å, c = 7.255 Å, α = 90.00°, β = 90.00° and γ = 90.00°. The distinct sites, in fractional coordinates, are Cd at (0.000, 0.000, 0.000), Co at (0.250, 0.250, 0.250), Cu at (0.000, 0.000, 0.500) and O at (0.000, 0.311, 0.175).